# Mn2NbF8

A relaxed structure of Mn2NbF8 (PBE with a Hubbard U, Alexandria).

Raw total energy = -69.70 eV/cell

Unit cell a=6.7085 b=6.7085 c=4.1507 alpha=90.00 beta=90.00 gamma=120.00
Space group P-3 (No. 147)
One atom of each set of equivalent atoms:
Mn 0.3333 0.6667 0.2506 [2 per cell]
Nb 0.0000 0.0000 0.5000 [1 per cell]
F 0.1500 0.3015 0.2600 [6 per cell]
F 0.3333 0.6667 0.7527 [2 per cell]